{
  "formula": "Ca2MgNbO",
  "functional": "GGA-PBE",
  "state": "optimized geometry",
  "rho_g_cm3": 2.6,
  "raw_formation_energy_mev_per_atom": 166,
  "spacegroup": "P4/mmm, No. 123",
  "crystal_system": "tetragonal",
  "cell": [[6.219, 0.000, 0.000], [0.000, 3.566, 0.000], [0.000, 0.000, 6.219]],
  "species": ["Ca", "Ca", "O", "Nb", "Mg"],
  "fractional_positions": [[0.000, 0.000, 0.500], [0.500, 0.000, 0.000], [0.000, 0.500, 0.000], [0.500, 0.500, 0.500], [0.000, 0.000, 0.000]]
}

***

{
  "formula": "ZrNiRu",
  "functional": "GGA-PBE",
  "state": "optimized geometry",
  "e_above_lowest_polymorph_ev_per_fu": 1.04,
  "e_form_ev_per_fu": -0.2,
  "rho_g_cm3": 8.9,
  "spacegroup": "P3m1, No. 156",
  "crystal_system": "trigonal",
  "cell": [[-2.001, -3.060, -2.445], [3.935, -0.834, 1.779], [-1.245, -1.008, 2.281]],
  "species": ["Ni", "Ru", "Zr"],
  "fractional_positions": [[0.000, 0.000, 0.960], [0.333, 0.667, 0.361], [0.667, 0.333, 0.679]]
}

***

no.,spin magnetization (μB/atom),Fermi-level density of states (states/eV/atom)
1,0.5616,0.447
2,0.0000,1.534